(1)
PBEsol TaInF2, relaxed; N(E_F) = 0.3998 states/eV/atom; calculated total energy = -6.21 eV per atom
1.0
-0.042 2.544 1.298
-1.192 2.247 -1.300
-9.387 -0.714 4.237
F In Ta
2 1 1
direct
0.883 0.883 0.352
0.117 0.117 0.648
0.000 0.000 0.000
0.500 0.500 0.500

(2)
PBEsol TaInF3, relaxed; N(E_F) = 0.4730 states/eV/atom; calculated total energy = -5.80 eV per atom
1.0
4.287 0.000 0.000
0.000 4.287 0.000
0.000 0.000 4.287
F Ta In
3 1 1
direct
0.000 0.500 0.000
0.000 0.000 0.500
0.500 0.000 0.000
0.000 0.000 0.000
0.500 0.500 0.500

(3)
PBEsol InTe3F, relaxed; N(E_F) = 0.4640 states/eV/atom; calculated total energy = -3.23 eV per atom
1.0
5.014 0.000 0.000
0.000 5.014 0.000
0.000 0.000 5.014
F Te In
1 3 1
direct
0.000 0.000 0.000
0.000 0.500 0.000
0.000 0.000 0.500
0.500 0.000 0.000
0.500 0.500 0.500

(4)
PBEsol Ti3InF, relaxed; N(E_F) = 1.5809 states/eV/atom; calculated total energy = -4.88 eV per atom
1.0
-4.421 -2.494 -0.676
2.081 -4.230 2.000
-1.533 1.452 4.666
F Ti In
1 3 1
direct
0.500 0.500 0.500
0.000 0.500 0.000
0.000 0.000 0.500
0.500 0.000 0.000
0.000 0.000 0.000

(5)
PBEsol TlIn2F2, relaxed; N(E_F) = 0.2384 states/eV/atom; calculated total energy = -3.79 eV per atom
1.0
3.765 0.000 0.000
0.000 3.765 0.000
-1.882 -1.882 7.064
Tl F In
1 2 2
direct
0.000 0.000 0.000
0.250 0.750 0.500
0.750 0.250 0.500
0.356 0.356 0.712
0.644 0.644 0.288

(6)
PBEsol K3IrF, relaxed; N(E_F) = 0.4377 states/eV/atom; calculated total energy = -2.96 eV per atom
1.0
5.872 0.000 0.000
0.000 5.872 0.000
0.000 0.000 5.872
K Ir F
3 1 1
direct
0.000 0.500 0.000
0.000 0.000 0.500
0.500 0.000 0.000
0.000 0.000 0.000
0.500 0.500 0.500

(7)
PBEsol K2LiIrF6, relaxed; N(E_F) = 0.0000 states/eV/atom; calculated total energy = -4.88 eV per atom
1.0
5.698 0.000 0.000
2.849 4.934 0.000
2.849 1.645 4.652
K Ir Li F
2 1 1 6
direct
0.250 0.250 0.250
0.750 0.750 0.750
0.000 0.000 0.000
0.500 0.500 0.500
0.750 0.750 0.250
0.250 0.750 0.750
0.250 0.250 0.750
0.750 0.250 0.750
0.250 0.750 0.250
0.750 0.250 0.250

(8)
PBEsol KIrN2F, relaxed; N(E_F) = 0.6172 states/eV/atom; calculated total energy = -6.28 eV per atom
1.0
3.707 0.000 0.000
0.000 3.707 0.000
0.000 0.000 5.965
N K Ir F
2 1 1 1
direct
0.000 0.500 0.000
0.500 0.000 0.000
0.500 0.500 0.500
0.000 0.000 0.000
0.000 0.000 0.500

(9)
PBEsol KRb2IrF6, relaxed; N(E_F) = 0.0000 states/eV/atom; calculated total energy = -4.72 eV per atom
1.0
-1.466 -4.400 4.279
2.899 -5.604 -0.117
4.137 -1.508 4.521
K Ir Rb F
1 1 2 6
direct
0.500 0.500 0.500
0.000 0.000 0.000
0.250 0.250 0.250
0.750 0.750 0.750
0.225 0.775 0.225
0.225 0.225 0.775
0.775 0.775 0.225
0.225 0.775 0.775
0.775 0.225 0.775
0.775 0.225 0.225

(10)
PBEsol K2RbIrF6, relaxed; N(E_F) = 0.0000 states/eV/atom; calculated total energy = -4.66 eV per atom
1.0
6.430 0.000 0.000
3.215 5.568 0.000
3.215 1.856 5.250
K Rb Ir F
2 1 1 6
direct
0.750 0.750 0.750
0.250 0.250 0.250
0.500 0.500 0.500
0.000 0.000 0.000
0.780 0.220 0.220
0.780 0.780 0.220
0.220 0.780 0.780
0.780 0.220 0.780
0.220 0.780 0.220
0.220 0.220 0.780

(11)
PBEsol KSrIrF2, relaxed; N(E_F) = 2.0562 states/eV/atom; calculated total energy = -4.44 eV per atom
1.0
-1.849 -4.304 0.360
-0.268 -0.276 -4.682
5.808 -2.510 -0.185
Sr K Ir F
1 1 1 2
direct
0.000 0.000 0.000
0.500 0.500 0.500
0.000 0.000 0.500
0.000 0.500 0.000
0.500 0.000 0.000

(12)
PBEsol LaIr2F, relaxed; N(E_F) = 1.0639 states/eV/atom; calculated total energy = -7.73 eV per atom
1.0
3.557 0.000 0.000
0.000 3.557 0.000
-1.779 -1.779 11.247
F Ir La
2 4 2
direct
0.750 0.250 0.500
0.500 0.500 0.000
0.873 0.875 0.250
0.377 0.375 0.250
0.125 0.623 0.750
0.625 0.127 0.750
0.250 0.750 0.500
0.000 0.000 0.000